[1]
CsCoSnHg2 after structural relaxation, computed with PBE-GGA.

The structure in extended XYZ format:
```
5
Lattice="5.3662 0.0000 0.0000 0.0000 5.3662 0.0000 0.0000 0.0000 4.8983" Properties=species:S:1:pos:R:3 pbc="T T T"
Cs 2.6831 2.6831 2.4491
Co 0.0000 0.0000 0.0000
Hg 0.0000 2.6831 0.0000
Hg 2.6831 0.0000 0.0000
Sn 0.0000 0.0000 2.4491
```

Summary:
The energy relative to the lowest polymorph listed for this composition comes out at 0 meV/atom. For the density of states at the Fermi level, the calculation gives 1.9 states/eV/cell. The density comes out at 8.4 g/cm3. As for the total energy: -2.531 eV per atom. The formation energy is -0.018 eV/atom.

[2]
CsCoSnHg2 after structural relaxation, computed with PBE-GGA.

The structure in extended XYZ format:
```
5
Lattice="5.5577 0.0000 0.0000 0.0000 7.2910 0.0000 0.0000 0.0000 5.5577" Properties=species:S:1:pos:R:3 pbc="T T T"
Cs 0.0000 3.6455 0.0000
Co 2.7788 3.6455 2.7788
Hg 0.0000 0.0000 2.7788
Hg 2.7788 0.0000 0.0000
Sn 0.0000 0.0000 0.0000
```

Summary:
The energy relative to the lowest polymorph listed for this composition comes out at 846 meV/atom. For the density of states at the Fermi level, the calculation gives 4.6 states/eV/cell. The density comes out at 5.2 g/cm3. As for the total energy: -1.685 eV per atom. The formation energy is 0.828 eV/atom.

[3]
CsHo2Co after structural relaxation, computed with PBE-GGA.

The structure in extended XYZ format:
```
4
Lattice="-0.1828 3.0616 2.4852 -3.0917 0.3937 2.4227 3.9941 -4.5672 9.0553" Properties=species:S:1:pos:R:3 pbc="T T T"
Cs 0.0000 0.0000 0.0000
Co 0.3598 -0.5559 6.9816
Ho 2.1033 -2.4409 6.2968
Ho -1.3837 1.3290 7.6664
```

Summary:
For the density of states at the Fermi level, the calculation gives 2.5 states/eV/cell. The density comes out at 6.0 g/cm3. As for the total energy: -4.155 eV per atom. The formation energy is 0.124 eV/atom.

Question: Number 1 is which compound?
Answer: CsCoSnHg2